Entry 1:
Ac4Pr4Sm | PBE-GGA | optimized geometry

abc: 8.5698 8.5698 8.5698
angles: 95.71 95.71 143.22
With the nearest neighbours (Å) after each atom.
Fractional positions:
Ac 0.1659 0.1659 0.3318  4 Ac 3.82-3.85, 2 Sm 3.82, 6 Pr 3.84-3.85
Ac 0.1659 0.8341 0.0000  4 Ac 3.82-3.85, 2 Sm 3.82, 6 Pr 3.84-3.85
Ac 0.8341 0.1659 0.0000  4 Ac 3.82-3.85, 2 Sm 3.82, 6 Pr 3.84-3.85
Ac 0.8341 0.8341 0.6682  4 Ac 3.82-3.85, 2 Sm 3.82, 6 Pr 3.84-3.85
Pr 0.1624 0.5000 0.6624  5 Pr 3.74-3.78, 6 Ac 3.84-3.85, 1 Sm 3.88
Pr 0.5000 0.1624 0.6624  5 Pr 3.74-3.78, 6 Ac 3.84-3.85, 1 Sm 3.88
Pr 0.5000 0.8376 0.3376  5 Pr 3.74-3.78, 6 Ac 3.84-3.85, 1 Sm 3.88
Pr 0.8376 0.5000 0.3376  5 Pr 3.74-3.78, 6 Ac 3.84-3.85, 1 Sm 3.88
Sm 0.5000 0.5000 0.0000  8 Ac 3.82, 4 Pr 3.88

Computed properties:
The calculation puts the formation energy at 0.0313 eV/atom.

Entry 2:
AcPr4Sm | PBE-GGA | optimized geometry

abc: 11.3129 11.3129 3.7290
angles: 90.08 90.08 108.63
With the nearest neighbours (Å) after each atom.
Fractional positions:
Ac 0.0966 0.9034 0.7500  4 Ac 3.73-4.01, 8 Pr 3.89-3.99
Ac 0.9034 0.0966 0.2500  4 Ac 3.73-4.01, 8 Pr 3.89-3.99
Pr 0.1226 0.6015 0.2525  1 Sm 3.48, 8 Pr 3.51-3.73
Pr 0.1748 0.3415 0.7508  7 Pr 3.59-3.73, 2 Sm 3.69-3.70, 2 Ac 3.89
Pr 0.3415 0.1748 0.2508  7 Pr 3.59-3.73, 2 Sm 3.69-3.70, 2 Ac 3.89
Pr 0.3985 0.8774 0.2475  1 Sm 3.48, 8 Pr 3.51-3.73
Pr 0.6015 0.1226 0.7525  1 Sm 3.48, 8 Pr 3.51-3.73
Pr 0.6585 0.8252 0.7492  7 Pr 3.59-3.73, 2 Sm 3.69-3.70, 2 Ac 3.89
Pr 0.8252 0.6585 0.2492  7 Pr 3.59-3.73, 2 Sm 3.69-3.70, 2 Ac 3.89
Pr 0.8774 0.3985 0.7475  1 Sm 3.48, 8 Pr 3.51-3.73
Sm 0.4218 0.5782 0.2500  4 Sm 3.43-3.73, 6 Pr 3.48-3.70
Sm 0.5782 0.4218 0.7500  4 Sm 3.43-3.73, 6 Pr 3.48-3.70

Computed properties:
The calculation puts the formation energy at 0.0994 eV/atom.

Entry 3:
Ac3Pr2Sm | PBE-GGA | optimized geometry

abc: 7.2241 7.2241 9.4881
angles: 97.63 97.63 96.39
With the nearest neighbours (Å) after each atom.
Fractional positions:
Ac 0.0584 0.9416 0.7500  1 Sm 3.47, 4 Ac 3.69-3.83, 2 Pr 3.85
Ac 0.2030 0.3669 0.0213  2 Sm 3.45-3.63, 3 Ac 3.69-3.83, 2 Pr 3.76-3.81
Ac 0.3669 0.2030 0.5213  2 Sm 3.45-3.63, 3 Ac 3.69-3.83, 2 Pr 3.76-3.81
Ac 0.6331 0.7970 0.4787  2 Sm 3.45-3.63, 3 Ac 3.69-3.83, 2 Pr 3.76-3.81
Ac 0.7970 0.6331 0.9787  2 Sm 3.45-3.63, 3 Ac 3.69-3.83, 2 Pr 3.76-3.81
Ac 0.9416 0.0584 0.2500  1 Sm 3.47, 4 Ac 3.69-3.83, 2 Pr 3.85
Pr 0.1163 0.6176 0.3813  1 Pr 3.49, 2 Sm 3.76-3.78, 3 Ac 3.76-3.85
Pr 0.3824 0.8837 0.1187  1 Pr 3.49, 2 Sm 3.76-3.78, 3 Ac 3.76-3.85
Pr 0.6176 0.1163 0.8813  1 Pr 3.49, 2 Sm 3.76-3.78, 3 Ac 3.76-3.85
Pr 0.8837 0.3824 0.6187  1 Pr 3.49, 2 Sm 3.76-3.78, 3 Ac 3.76-3.85
Sm 0.3810 0.6190 0.7500  5 Ac 3.45-3.63, 4 Pr 3.76-3.78
Sm 0.6190 0.3810 0.2500  5 Ac 3.45-3.63, 4 Pr 3.76-3.78

Computed properties:
The calculation puts the formation energy at 0.0985 eV/atom.

Entry 4:
Ac8Pr2Sm3 | PBE-GGA | optimized geometry

abc: 11.4569 11.4569 6.1816
angles: 90.01 90.01 42.99
With the nearest neighbours (Å) after each atom.
Fractional positions:
Ac 0.1052 0.6873 0.9998  1 Sm 3.30, 1 Ac 3.51
Ac 0.1730 0.1730 0.5004  2 Pr 3.60, 4 Ac 3.85
Ac 0.3127 0.8948 0.0002  1 Sm 3.30, 1 Ac 3.51
Ac 0.3689 0.3689 0.5001  2 Sm 3.71, 2 Pr 3.87-3.88, 4 Ac 3.98
Ac 0.6311 0.6311 0.4999  2 Sm 3.71, 2 Pr 3.87-3.88, 4 Ac 3.98
Ac 0.6873 0.1052 0.9998  1 Sm 3.30, 1 Ac 3.51
Ac 0.8270 0.8270 0.4996  2 Pr 3.60, 4 Ac 3.85
Ac 0.8948 0.3127 0.0002  1 Sm 3.30, 1 Ac 3.51
Pr 0.2592 0.2592 0.0004  8 Ac 3.60-3.88
Pr 0.7408 0.7408 0.9996  8 Ac 3.60-3.88
Sm 0.2091 0.7909 0.5000  1 Sm 3.51, 6 Ac 3.71-3.80
Sm 0.5000 0.5000 0.0000  4 Ac 3.30
Sm 0.7909 0.2091 0.5000  1 Sm 3.51, 6 Ac 3.71-3.80

Computed properties:
The calculation puts the formation energy at 0.2067 eV/atom.

Entry 5:
Ac2PrSm2 | PBE-GGA | optimized geometry

abc: 9.6555 9.6555 6.5973
angles: 106.49 106.49 41.49
With the nearest neighbours (Å) after each atom.
Fractional positions:
Ac 0.0462 0.3392 0.1955  1 Pr 3.63, 4 Sm 3.71-4.05, 5 Ac 3.86-4.02
Ac 0.3392 0.0462 0.6955  1 Pr 3.63, 4 Sm 3.71-4.05, 5 Ac 3.86-4.02
Ac 0.6608 0.9538 0.3045  1 Pr 3.63, 4 Sm 3.71-4.05, 5 Ac 3.86-4.02
Ac 0.9538 0.6608 0.8045  1 Pr 3.63, 4 Sm 3.71-4.05, 5 Ac 3.86-4.02
Pr 0.0807 0.9193 0.7500  4 Sm 3.39-3.67, 2 Pr 3.48, 2 Ac 3.63
Pr 0.9193 0.0807 0.2500  4 Sm 3.39-3.67, 2 Pr 3.48, 2 Ac 3.63
Sm 0.2930 0.5299 0.3405  2 Pr 3.39-3.67, 4 Sm 3.63-3.74, 2 Ac 3.71-3.78
Sm 0.4701 0.7070 0.1595  2 Pr 3.39-3.67, 4 Sm 3.63-3.74, 2 Ac 3.71-3.78
Sm 0.5299 0.2930 0.8405  2 Pr 3.39-3.67, 4 Sm 3.63-3.74, 2 Ac 3.71-3.78
Sm 0.7070 0.4701 0.6595  2 Pr 3.39-3.67, 4 Sm 3.63-3.74, 2 Ac 3.71-3.78

Computed properties:
The calculation puts the formation energy at 0.0792 eV/atom.

Entry 6:
Ac2PrSm8 | PBE-GGA | optimized geometry

abc: 7.2761 7.2761 9.1236
angles: 100.55 100.55 58.65
With the nearest neighbours (Å) after each atom.
Fractional positions:
Ac 0.1705 0.1705 0.1786  10 Sm 3.47-3.83
Ac 0.8295 0.8295 0.8214  10 Sm 3.47-3.83
Pr 0.0000 0.0000 0.5000  8 Sm 3.55-3.96
Sm 0.2167 0.6687 0.1681  3 Sm 3.22-3.60, 1 Ac 3.47, 1 Pr 3.55
Sm 0.2880 0.2880 0.8397  5 Sm 3.33-3.60, 3 Ac 3.61-3.70
Sm 0.3313 0.7833 0.8319  3 Sm 3.22-3.60, 1 Ac 3.47, 1 Pr 3.55
Sm 0.3664 0.3664 0.5131  2 Sm 3.33-3.45, 1 Ac 3.51
Sm 0.6336 0.6336 0.4869  2 Sm 3.33-3.45, 1 Ac 3.51
Sm 0.6687 0.2167 0.1681  3 Sm 3.22-3.60, 1 Ac 3.47, 1 Pr 3.55
Sm 0.7120 0.7120 0.1603  5 Sm 3.33-3.60, 3 Ac 3.61-3.70
Sm 0.7833 0.3313 0.8319  3 Sm 3.22-3.60, 1 Ac 3.47, 1 Pr 3.55

Computed properties:
The calculation puts the formation energy at 0.1663 eV/atom.

Entry 7:
Ac9PrSm2 | PBE-GGA | optimized geometry

abc: 5.5242 5.5242 16.5704
angles: 90.00 90.00 90.00
With the nearest neighbours (Å) after each atom.
Fractional positions:
Ac 0.0000 0.0000 0.0000  4 Pr 3.91, 8 Ac 3.92
Ac 0.0000 0.0000 0.3341  8 Ac 3.90, 4 Sm 3.91
Ac 0.0000 0.0000 0.6659  8 Ac 3.90, 4 Sm 3.91
Ac 0.0000 0.5000 0.1678  2 Sm 3.90, 8 Ac 3.90-3.92, 2 Pr 3.92
Ac 0.0000 0.5000 0.5000  8 Ac 3.90-3.91, 4 Sm 3.90
Ac 0.0000 0.5000 0.8322  2 Sm 3.90, 8 Ac 3.90-3.92, 2 Pr 3.92
Ac 0.5000 0.0000 0.1678  2 Sm 3.90, 8 Ac 3.90-3.92, 2 Pr 3.92
Ac 0.5000 0.0000 0.5000  8 Ac 3.90-3.91, 4 Sm 3.90
Ac 0.5000 0.0000 0.8322  2 Sm 3.90, 8 Ac 3.90-3.92, 2 Pr 3.92
Pr 0.5000 0.5000 0.0000  12 Ac 3.91-3.92
Sm 0.5000 0.5000 0.3340  12 Ac 3.90-3.91
Sm 0.5000 0.5000 0.6660  12 Ac 3.90-3.91

Computed properties:
The calculation puts the formation energy at 0.0236 eV/atom.

Entry 8:
Ac3PrSm | PBE-GGA | optimized geometry

abc: 10.2018 10.2018 10.8891
angles: 104.84 104.84 21.96
With the nearest neighbours (Å) after each atom.
Fractional positions:
Ac 0.0018 0.0018 0.2388  4 Pr 3.76-3.86, 1 Sm 3.86, 7 Ac 3.89-4.02
Ac 0.2014 0.2014 0.8479  3 Pr 3.77-3.87, 2 Sm 3.81, 7 Ac 3.89-3.93
Ac 0.3978 0.3978 0.4546  3 Sm 3.79-3.81, 9 Ac 3.89-4.02
Ac 0.6022 0.6022 0.5454  3 Sm 3.79-3.81, 9 Ac 3.89-4.02
Ac 0.7986 0.7986 0.1521  3 Pr 3.77-3.87, 2 Sm 3.81, 7 Ac 3.89-3.93
Ac 0.9982 0.9982 0.7612  4 Pr 3.76-3.86, 1 Sm 3.86, 7 Ac 3.89-4.02
Pr 0.3963 0.3963 0.9455  7 Ac 3.76-3.87, 2 Sm 3.84, 3 Pr 3.89-4.01
Pr 0.6037 0.6037 0.0545  7 Ac 3.76-3.87, 2 Sm 3.84, 3 Pr 3.89-4.01
Sm 0.2009 0.2009 0.3513  6 Ac 3.79-3.86, 2 Pr 3.84, 4 Sm 3.85-3.89
Sm 0.7991 0.7991 0.6487  6 Ac 3.79-3.86, 2 Pr 3.84, 4 Sm 3.85-3.89

Computed properties:
The calculation puts the formation energy at 0.0355 eV/atom.

Entry 9:
Ac7Pr4Sm | PBE-GGA | optimized geometry

abc: 9.2358 9.2358 10.4783
angles: 118.27 118.27 41.02
With the nearest neighbours (Å) after each atom.
Fractional positions:
Ac 0.0000 0.0000 0.0000  2 Sm 3.24, 2 Pr 3.39
Ac 0.2715 0.2715 0.7424  4 Pr 3.46-3.70, 1 Sm 3.48, 2 Ac 3.78-3.84
Ac 0.2972 0.2972 0.1223  6 Ac 3.78-3.95, 3 Pr 3.92-4.06
Ac 0.4144 0.4144 0.5566  5 Pr 3.66-3.91, 3 Ac 3.70-3.94
Ac 0.5856 0.5856 0.4434  5 Pr 3.66-3.91, 3 Ac 3.70-3.94
Ac 0.7028 0.7028 0.8777  6 Ac 3.78-3.95, 3 Pr 3.92-4.06
Ac 0.7285 0.7285 0.2576  4 Pr 3.46-3.70, 1 Sm 3.48, 2 Ac 3.78-3.84
Pr 0.0602 0.0602 0.7011  2 Ac 3.46-3.77, 2 Pr 3.64-3.70
Pr 0.1694 0.1694 0.3572  5 Ac 3.39-3.70, 1 Pr 3.70
Pr 0.8306 0.8306 0.6428  5 Ac 3.39-3.70, 1 Pr 3.70
Pr 0.9398 0.9398 0.2989  2 Ac 3.46-3.77, 2 Pr 3.64-3.70
Sm 0.5000 0.5000 0.0000  4 Ac 3.24-3.48

Computed properties:
The calculation puts the formation energy at 0.2323 eV/atom.

Entry 10:
Ac6PrSm2 | PBE-GGA | optimized geometry

abc: 9.9590 9.9590 7.8402
angles: 90.36 90.36 78.50
With the nearest neighbours (Å) after each atom.
Fractional positions:
Ac 0.0994 0.1032 0.3702  2 Sm 3.56-3.67, 8 Ac 3.64-3.94
Ac 0.1032 0.0994 0.8702  2 Sm 3.56-3.67, 8 Ac 3.64-3.94
Ac 0.1080 0.6032 0.3798  3 Sm 3.67-3.93, 1 Pr 3.68, 5 Ac 3.77-4.01
Ac 0.1509 0.6121 0.8878  2 Sm 3.67-3.81, 4 Ac 3.89-4.01, 1 Pr 3.92
Ac 0.3879 0.8491 0.6122  2 Sm 3.67-3.81, 4 Ac 3.89-4.01, 1 Pr 3.92
Ac 0.3968 0.8920 0.1202  3 Sm 3.67-3.93, 1 Pr 3.68, 5 Ac 3.77-4.01
Ac 0.6032 0.1080 0.8798  3 Sm 3.67-3.93, 1 Pr 3.68, 5 Ac 3.77-4.01
Ac 0.6121 0.1509 0.3878  2 Sm 3.67-3.81, 4 Ac 3.89-4.01, 1 Pr 3.92
Ac 0.8491 0.3879 0.1122  2 Sm 3.67-3.81, 4 Ac 3.89-4.01, 1 Pr 3.92
Ac 0.8920 0.3968 0.6202  3 Sm 3.67-3.93, 1 Pr 3.68, 5 Ac 3.77-4.01
Ac 0.8968 0.9006 0.1298  2 Sm 3.56-3.67, 8 Ac 3.64-3.94
Ac 0.9006 0.8968 0.6298  2 Sm 3.56-3.67, 8 Ac 3.64-3.94
Pr 0.4698 0.5302 0.2500  2 Sm 3.32, 2 Ac 3.68
Pr 0.5302 0.4698 0.7500  2 Sm 3.32, 2 Ac 3.68
Sm 0.2943 0.3020 0.6099  1 Pr 3.32, 4 Ac 3.56-3.67
Sm 0.3020 0.2943 0.1099  1 Pr 3.32, 4 Ac 3.56-3.67
Sm 0.6980 0.7057 0.8901  1 Pr 3.32, 4 Ac 3.56-3.67
Sm 0.7057 0.6980 0.3901  1 Pr 3.32, 4 Ac 3.56-3.67

Computed properties:
The calculation puts the formation energy at 0.1479 eV/atom.

N(E_F) list, top to bottom, in states/eV/f.u.: 16.18; 9.97; 8.32; 19.08; 7.28; 15.95; 20.13; 8.97; 21.09; 15.24
Calculated total energy list, top to bottom, in eV per atom: -4.443; -4.558; -4.335; -4.146; -4.408; -4.447; -4.243; -4.329; -4.151; -4.171
Magnetic moment list, top to bottom, in μB/f.u.: 0.00; 0.00; 0.00; 0.00; 0.00; 0.00; 0.00; 0.00; 0.00; 0.00